Here is TaFe2Au after structural relaxation from Alexandria via LeMat-Bulk. Energies are from PBE-GGA.

```
data_TaFe2Au
_space_group_name_H-M_alt 'F -4 3 m'
_space_group_IT_number 216
_space_group_name_Hall 'F -4 2 3'
_cell_length_a 6.2238
_cell_length_b 6.2238
_cell_length_c 6.2238
_cell_angle_alpha 90.00
_cell_angle_beta 90.00
_cell_angle_gamma 90.00
loop_
_atom_site_label
_atom_site_fract_x
_atom_site_fract_y
_atom_site_fract_z
_atom_site_occupancy
Ta1 0.0000 0.0000 0.0000 1
Fe1 0.0000 0.0000 0.5000 1
Fe2 0.2500 0.2500 0.2500 1
Au1 0.2500 0.2500 0.7500 1
```

For the density of states at the Fermi level, the calculation gives 4.272 states/eV/f.u. Its formation energy is 0.171 eV per atom. The calculation puts the total energy at -125.48 eV for the cell shown. The crystal system is cubic. For the size of the total moment, the calculation gives 17.84 μB/cell.